A relaxed structure of Mg5Hg. Source: Alexandria via LeMat-Bulk, functional PBE-GGA.

```
data_Mg5Hg
_chemical_formula_sum 'Mg15 Hg3'
_symmetry_space_group_name_H-M 'R 3 2'
_symmetry_Int_Tables_number 155
_symmetry_space_group_name_Hall 'R 3 2"'
_cell_length_a 5.5145
_cell_length_b 5.5145
_cell_length_c 15.1162
_cell_angle_alpha 90.00
_cell_angle_beta 90.00
_cell_angle_gamma 120.00
loop_
_atom_site_label
_atom_site_type_symbol
_atom_site_fract_x
_atom_site_fract_y
_atom_site_fract_z
Mg1 Mg 0.0000 0.0000 0.1664
Mg2 Mg 0.0000 0.6615 0.0000
Hg1 Hg 0.0000 0.0000 0.5000
```



A relaxed structure of MgHg2. Source: Alexandria via LeMat-Bulk, functional PBE-GGA.

```
data_MgHg2
_chemical_formula_sum 'Mg4 Hg8'
_symmetry_space_group_name_H-M 'I 41/a m d'
_symmetry_Int_Tables_number 141
_cell_length_a 3.311
_cell_length_b 3.311
_cell_length_c 25.512
_cell_angle_alpha 90.00
_cell_angle_beta 90.00
_cell_angle_gamma 90.00
loop_
_symmetry_equiv_pos_as_xyz
'x,y,z'
'-x,-y,-z'
'-y+1/4,x+3/4,z+1/4'
'y+1/4,-x+3/4,-z+1/4'
'-x+1/2,-y,z+1/2'
'x+1/2,y,-z+1/2'
'y+1/4,-x+1/4,z+3/4'
'-y+1/4,x+1/4,-z+3/4'
'x,-y,-z'
'-x,y,z'
'-y+1/4,-x+1/4,-z+3/4'
'y+1/4,x+1/4,z+3/4'
'-x+1/2,y,-z+1/2'
'x+1/2,-y,z+1/2'
'y+1/4,x+3/4,-z+1/4'
'-y+1/4,-x+3/4,z+1/4'
'x+1/2,y+1/2,z+1/2'
'-x+1/2,-y+1/2,-z+1/2'
'-y+3/4,x+1/4,z+3/4'
'y+3/4,-x+1/4,-z+3/4'
'-x,-y+1/2,z'
'x,y+1/2,-z'
'y+3/4,-x+3/4,z+1/4'
'-y+3/4,x+3/4,-z+1/4'
'x+1/2,-y+1/2,-z+1/2'
'-x+1/2,y+1/2,z+1/2'
'-y+3/4,-x+3/4,-z+1/4'
'y+3/4,x+3/4,z+1/4'
'-x,y+1/2,-z'
'x,-y+1/2,z'
'y+3/4,x+1/4,-z+3/4'
'-y+3/4,-x+1/4,z+3/4'
loop_
_atom_site_label
_atom_site_type_symbol
_atom_site_fract_x
_atom_site_fract_y
_atom_site_fract_z
Mg1 Mg 0.000 0.250 0.375
Hg1 Hg 0.000 0.250 0.800
```



A relaxed structure of MgHg2. Source: Alexandria via LeMat-Bulk, functional PBE-GGA.

```
data_MgHg2
_chemical_formula_sum 'Mg4 Hg8'
_symmetry_space_group_name_H-M 'C m c m'
_symmetry_Int_Tables_number 63
_symmetry_space_group_name_Hall '-C 2c 2'
_cell_length_a 3.635
_cell_length_b 14.320
_cell_length_c 5.242
_cell_angle_alpha 90.00
_cell_angle_beta 90.00
_cell_angle_gamma 90.00
loop_
_atom_site_label
_atom_site_type_symbol
_atom_site_fract_x
_atom_site_fract_y
_atom_site_fract_z
Mg1 Mg 0.000 0.100 0.250
Hg1 Hg 0.000 0.238 0.750
Hg2 Hg 0.000 0.435 0.250
```



A relaxed structure of MgHg2. Source: Alexandria via LeMat-Bulk, functional PBE-GGA.

```
data_MgHg2
_chemical_formula_sum 'Mg4 Hg8'
_symmetry_space_group_name_H-M 'C 1 2/m 1'
_symmetry_Int_Tables_number 12
_cell_length_a 11.457
_cell_length_b 3.558
_cell_length_c 7.113
_cell_angle_alpha 90.00
_cell_angle_beta 109.98
_cell_angle_gamma 90.00
loop_
_symmetry_equiv_pos_as_xyz
'x,y,z'
'-x,-y,-z'
'-x,y,-z'
'x,-y,z'
'x+1/2,y+1/2,z'
'-x+1/2,-y+1/2,-z'
'-x+1/2,y+1/2,-z'
'x+1/2,-y+1/2,z'
loop_
_atom_site_label
_atom_site_type_symbol
_atom_site_fract_x
_atom_site_fract_y
_atom_site_fract_z
Mg1 Mg 0.013 0.000 0.264
Hg1 Hg 0.152 0.500 0.063
Hg2 Hg 0.163 0.500 0.594
```



The calculation returns the following calculated formation energy values, one per record and in order: -0.08; -0.11; -0.13; -0.12 eV per atom.
The calculation returns the following VASP energy values, one per record and in order: -26.23; -10.15; -10.32; -10.26 eV per cell.